First-principles (GGA-PBE) data for a relaxed DyEr2In crystal, as listed in the Open Quantum Materials Database.

magnetic moment: 0.0 μB per formula unit
E_tot: -4.380 eV/atom
space group: No. 123

a = 4.801 Å, b = 4.801 Å, c = 4.825 Å
α = 90.00°, β = 90.00°, γ = 90.00°
Element x y z (fractional)
Dy (0.000, 0.000, 0.000)
Er (0.000, 0.500, 0.500)
Er (0.500, 0.000, 0.500)
In (0.500, 0.500, 0.000)

=====

First-principles (GGA-PBE) data for a relaxed Hf4CoCuN2 crystal, as listed in the Open Quantum Materials Database.

magnetic moment: 0.0 μB per formula unit
E_tot: -9.136 eV/atom
space group: No. 6
ΔE to the lowest computed polymorph: 135 meV per atom

a = 5.875 Å, b = 3.114 Å, c = 7.272 Å
α = 90.00°, β = 112.18°, γ = 90.00°
Element x y z (fractional)
Hf (0.000, 0.000, 0.000)
Hf (0.026, 0.500, 0.615)
Hf (0.546, 0.000, 0.619)
Hf (0.593, 0.500, 0.206)
Co (0.361, 0.000, 0.892)
Cu (0.198, 0.500, 0.323)
N (0.770, 0.000, 0.428)
N (0.800, 0.500, 0.792)

=====

First-principles (GGA-PBE) data for a relaxed LiNiHgBi crystal, as listed in the Open Quantum Materials Database.

magnetic moment: 0.0 μB per formula unit
E_tot: -2.837 eV/atom
space group: No. 216
ΔE to the lowest computed polymorph: 189 meV per atom

a = 6.825 Å, b = 6.825 Å, c = 6.825 Å
α = 90.00°, β = 90.00°, γ = 90.00°
Element x y z (fractional)
Li (0.000, 0.000, 0.000)
Li (0.000, 0.500, 0.500)
Li (0.500, 0.000, 0.500)
Li (0.500, 0.500, 0.000)
Ni (0.250, 0.250, 0.750)
Ni (0.250, 0.750, 0.250)
Ni (0.750, 0.250, 0.250)
Ni (0.750, 0.750, 0.750)
Hg (0.250, 0.250, 0.250)
Hg (0.250, 0.750, 0.750)
Hg (0.750, 0.250, 0.750)
Hg (0.750, 0.750, 0.250)
Bi (0.000, 0.000, 0.500)
Bi (0.000, 0.500, 0.000)
Bi (0.500, 0.000, 0.000)
Bi (0.500, 0.500, 0.500)

=====

First-principles (GGA-PBE) data for a relaxed GaAg10 crystal, as listed in the Open Quantum Materials Database.

E_tot: -2.771 eV/atom
space group: No. 12

a = 5.056 Å, b = 5.056 Å, c = 34.947 Å
α = 90.09°, β = 90.09°, γ = 47.89°
Element x y z (fractional)
Ga (0.151, 0.151, 0.224)
Ga (0.849, 0.849, 0.776)
Ag (0.048, 0.048, 0.406)
Ag (0.048, 0.048, 0.676)
Ag (0.150, 0.150, 0.486)
Ag (0.152, 0.152, 0.759)
Ag (0.252, 0.252, 0.567)
Ag (0.254, 0.254, 0.299)
Ag (0.349, 0.349, 0.379)
Ag (0.351, 0.351, 0.649)
Ag (0.449, 0.449, 0.460)
Ag (0.452, 0.452, 0.731)
Ag (0.548, 0.548, 0.269)
Ag (0.551, 0.551, 0.540)
Ag (0.649, 0.649, 0.351)
Ag (0.651, 0.651, 0.621)
Ag (0.746, 0.746, 0.701)
Ag (0.748, 0.748, 0.433)
Ag (0.848, 0.848, 0.241)
Ag (0.850, 0.850, 0.514)
Ag (0.952, 0.952, 0.324)
Ag (0.952, 0.952, 0.594)

=====

First-principles (GGA-PBE) data for a relaxed LuInCuHg crystal, as listed in the Open Quantum Materials Database.

magnetic moment: 0.0 μB per formula unit
E_tot: -2.971 eV/atom
space group: No. 216
ΔE to the lowest computed polymorph: 82 meV per atom

a = 6.917 Å, b = 6.917 Å, c = 6.917 Å
α = 90.00°, β = 90.00°, γ = 90.00°
Element x y z (fractional)
Lu (0.000, 0.000, 0.000)
Lu (0.000, 0.500, 0.500)
Lu (0.500, 0.000, 0.500)
Lu (0.500, 0.500, 0.000)
In (0.250, 0.250, 0.250)
In (0.250, 0.750, 0.750)
In (0.750, 0.250, 0.750)
In (0.750, 0.750, 0.250)
Cu (0.000, 0.000, 0.500)
Cu (0.000, 0.500, 0.000)
Cu (0.500, 0.000, 0.000)
Cu (0.500, 0.500, 0.500)
Hg (0.250, 0.250, 0.750)
Hg (0.250, 0.750, 0.250)
Hg (0.750, 0.250, 0.250)
Hg (0.750, 0.750, 0.750)

=====

First-principles (GGA-PBE) data for a relaxed LiZnCdCo crystal, as listed in the Open Quantum Materials Database.

magnetic moment: 0.0 μB per formula unit
E_tot: -2.782 eV/atom
space group: No. 216
ΔE to the lowest computed polymorph: 0 meV per atom

a = 6.093 Å, b = 6.093 Å, c = 6.093 Å
α = 90.00°, β = 90.00°, γ = 90.00°
Element x y z (fractional)
Li (0.000, 0.000, 0.000)
Li (0.000, 0.500, 0.500)
Li (0.500, 0.000, 0.500)
Li (0.500, 0.500, 0.000)
Zn (0.250, 0.250, 0.250)
Zn (0.250, 0.750, 0.750)
Zn (0.750, 0.250, 0.750)
Zn (0.750, 0.750, 0.250)
Cd (0.250, 0.250, 0.750)
Cd (0.250, 0.750, 0.250)
Cd (0.750, 0.250, 0.250)
Cd (0.750, 0.750, 0.750)
Co (0.000, 0.000, 0.500)
Co (0.000, 0.500, 0.000)
Co (0.500, 0.000, 0.000)
Co (0.500, 0.500, 0.500)

=====

First-principles (GGA-PBE) data for a relaxed CoTcSnOs crystal, as listed in the Open Quantum Materials Database.

magnetic moment: 2.8 μB per formula unit
E_tot: -7.814 eV/atom
space group: No. 216
ΔE to the lowest computed polymorph: 0 meV per atom

a = 6.242 Å, b = 6.242 Å, c = 6.242 Å
α = 90.00°, β = 90.00°, γ = 90.00°
Element x y z (fractional)
Co (0.000, 0.000, 0.000)
Co (0.000, 0.500, 0.500)
Co (0.500, 0.000, 0.500)
Co (0.500, 0.500, 0.000)
Tc (0.250, 0.250, 0.250)
Tc (0.250, 0.750, 0.750)
Tc (0.750, 0.250, 0.750)
Tc (0.750, 0.750, 0.250)
Sn (0.250, 0.250, 0.750)
Sn (0.250, 0.750, 0.250)
Sn (0.750, 0.250, 0.250)
Sn (0.750, 0.750, 0.750)
Os (0.000, 0.000, 0.500)
Os (0.000, 0.500, 0.000)
Os (0.500, 0.000, 0.000)
Os (0.500, 0.500, 0.500)

=====

First-principles (GGA-PBE) data for a relaxed DyPdNO crystal, as listed in the Open Quantum Materials Database.

magnetic moment: 0.0 μB per formula unit
E_tot: -7.155 eV/atom
space group: No. 129
ΔE to the lowest computed polymorph: 77 meV per atom

a = 4.162 Å, b = 4.162 Å, c = 6.951 Å
α = 90.00°, β = 90.00°, γ = 90.00°
Element x y z (fractional)
Dy (0.250, 0.250, 0.133)
Dy (0.750, 0.750, 0.867)
Pd (0.250, 0.750, 0.500)
Pd (0.750, 0.250, 0.500)
N (0.250, 0.250, 0.456)
N (0.750, 0.750, 0.544)
O (0.250, 0.750, 0.000)
O (0.750, 0.250, 0.000)

=====

First-principles (GGA-PBE) data for a relaxed Zr4AlTlN2 crystal, as listed in the Open Quantum Materials Database.

magnetic moment: 0.0 μB per formula unit
E_tot: -8.142 eV/atom
space group: No. 187

a = 3.293 Å, b = 3.293 Å, c = 14.627 Å
α = 90.00°, β = 90.00°, γ = 120.00°
Element x y z (fractional)
Zr (0.000, 0.000, 0.157)
Zr (0.000, 0.000, 0.843)
Zr (0.667, 0.333, 0.329)
Zr (0.667, 0.333, 0.671)
Al (0.667, 0.333, 0.000)
Tl (0.000, 0.000, 0.500)
N (0.333, 0.667, 0.244)
N (0.333, 0.667, 0.756)